A plane-wave DFT calculation with PBE was carried out for TcSb after structural relaxation.

Calculated values
The energy is -28.7 eV/cell. The value obtained for the energy above the most stable polymorph in this dataset is 0.002 eV/atom. The density of states at the Fermi level comes out at 1.5 states/eV/cell. Its space group is No. 63. The formation energy without anion corrections comes out at 0.06 eV per atom. The value obtained for the total magnetization is 0.000 Bohr magnetons per cell.

Unit cell a=9.760 b=9.760 c=3.045 alpha=90.00 beta=90.00 gamma=162.05
Atoms (fractional coordinates):
Sb 0.110 0.890 0.250
Tc 0.292 0.708 0.250
Sb 0.890 0.110 0.750
Tc 0.708 0.292 0.750